Computed, not measured: crystalline TbSiTc2Ge at its relaxed geometry at the GGA-PBE level of DFT.

Geometry as POSCAR:
```
TbSiTc2Ge
1.0
2.908 -5.205 0.000
2.908 5.205 0.000
0.000 0.000 5.871
Tb Si Tc Ge
2 2 4 2
Cartesian
2.908 2.629 4.403 Tb
2.908 -2.629 1.468 Tb
2.908 3.980 1.468 Si
2.908 -3.980 4.403 Si
1.483 0.000 0.000 Tc
1.483 0.000 2.936 Tc
4.333 0.000 0.000 Tc
4.333 0.000 2.936 Tc
2.908 1.464 1.468 Ge
2.908 -1.464 4.403 Ge
```

## Properties
The mass density comes out at 8.5 g cm⁻³. The total energy is -7.60 eV/atom. The calculation puts the density of states at the Fermi level at 10.005 states/eV/cell. The raw formation energy comes out at -0.524 eV/atom.